(1)
19
Lattice="-3.4984 -7.8322 0.3407 7.9886 -3.0165 -0.8840 0.6238 0.6828 8.5348" Properties=species:S:1:pos:R:3 comment="Pr12Tl6Pd, optimized geometry, DFT PBE" space_group="R-3, No. 148" delta_e_f_mev_per_atom=-203 pbc="T T T"
Pr 1.9762 -7.6826 3.6380
Pr 5.1849 -5.5827 4.2560
Pr 2.1442 -5.2325 6.6473
Pr 3.1377 -2.4833 4.3535
Pr -0.0710 -4.5832 3.7355
Pr 2.9698 -4.9334 1.3442
Pr -2.4943 -7.8012 3.0748
Pr 2.1878 -9.1012 -0.1840
Pr -1.6841 -4.6597 7.9437
Pr 7.6083 -2.3647 4.9167
Pr 2.9262 -1.0648 8.1755
Pr 6.7981 -5.5063 0.0478
Tl 4.6986 -7.6789 1.7496
Tl 0.1444 -6.6330 1.1414
Tl 5.5727 -3.0704 2.1996
Tl 0.4154 -2.4870 6.2420
Tl 4.9696 -3.5329 6.8501
Tl -0.4587 -7.0955 5.7919
Pd 0.0000 0.0000 0.0000


(2)
19
Lattice="-0.7789 0.2150 7.6023 7.5119 -0.7034 -1.2344 -1.7848 7.0338 -2.4056" Properties=species:S:1:pos:R:3 comment="PrTl6Pd12, optimized geometry, DFT PBE" space_group="R-3m, No. 166" delta_e_f_mev_per_atom=-146 pbc="T T T"
Pr 0.0000 0.0000 0.0000
Tl 1.0898 1.9572 4.2788
Tl 0.6733 4.7807 0.1348
Tl 4.5228 1.5769 0.6198
Tl 4.2750 1.7647 3.8275
Tl 3.8584 4.5882 -0.3165
Tl 0.4255 4.9685 3.3425
Pd -0.7342 3.6281 5.4007
Pd 3.0059 4.2734 4.3703
Pd 2.7658 5.9008 1.9817
Pd -0.0365 2.4912 1.7010
Pd 2.1824 0.6445 1.9806
Pd 1.9423 2.2720 -0.4080
Pd 2.0848 5.9114 -1.8916
Pd 6.0717 0.2786 2.4344
Pd 5.6824 2.9173 -1.4384
Pd 2.8634 0.6340 5.8539
Pd -1.1235 6.2668 1.5279
Pd 4.9847 4.0542 2.2612


(3)
11
Lattice="4.8824 0.0000 -1.5765 -1.2078 7.1138 -3.7404 0.2982 0.6952 9.2718" Properties=species:S:1:pos:R:3 comment="Pr8TlPd2, optimized geometry, DFT PBE" space_group="C2/m, No. 12" delta_e_f_mev_per_atom=-325 pbc="T T T"
Pr 2.3918 3.4216 -0.9413
Pr 1.7107 0.6156 5.2980
Pr 0.6751 2.3333 2.0906
Pr -0.6513 5.4910 -2.0170
Pr 3.2977 5.4757 1.8643
Pr 2.2620 7.1934 -1.3431
Pr 1.5810 4.3874 4.8962
Pr 4.6241 2.3181 5.9719
Tl 2.4412 0.0000 -0.7883
Pd 0.2637 4.9009 0.8167
Pd 3.7090 2.9081 3.1382


(4)
4
Lattice="-2.4115 -2.4700 0.6457 0.9565 -3.3716 0.2253 1.1110 -0.8038 10.6245" Properties=species:S:1:pos:R:3 comment="PrTl2Pd, optimized geometry, DFT PBE" space_group="R-3m, No. 166" delta_e_f_mev_per_atom=55 pbc="T T T"
Pr 0.0000 0.0000 0.0000
Tl 0.6206 -1.1551 7.4492
Tl -0.9646 -5.4902 4.0463
Pd -0.1720 -3.3227 5.7478


(5)
12
Lattice="-0.5805 1.3498 5.2353 -4.6406 -1.1279 2.6001 1.5802 -7.9628 5.0521" Properties=species:S:1:pos:R:3 comment="Pr2TlPd9, optimized geometry, DFT PBE" space_group="R-3m, No. 166" delta_e_f_mev_per_atom=-466 pbc="T T T"
Pr -3.8755 -3.0347 8.8243
Pr 0.2347 -4.7061 4.0633
Tl 0.0000 0.0000 0.0000
Pd -1.9020 -7.8110 10.2746
Pd -1.7388 0.0702 2.6130
Pd -1.8204 -3.8704 6.4438
Pd -1.7576 -1.9356 4.5278
Pd -2.0503 -1.2549 7.1680
Pd -4.0978 -2.5044 5.8391
Pd -1.8832 -5.8052 8.3597
Pd 0.4570 -5.2364 7.0485
Pd -1.5905 -6.4859 5.7196


(6)
11
Lattice="-5.5075 4.5531 -0.5585 -0.5638 -1.5676 -7.1996 -2.6569 -6.4587 1.6127" Properties=species:S:1:pos:R:3 comment="Pr7Tl2Pd2, optimized geometry, DFT PBE" space_group="Cmmm, No. 65" delta_e_f_mev_per_atom=-278 pbc="T T T"
Pr -6.9808 0.9169 -1.6056
Pr -5.8305 -5.3432 -4.0126
Pr -1.7473 -4.3901 -4.5398
Pr -2.8976 1.8700 -2.1328
Pr 0.0000 0.0000 0.0000
Pr -4.5073 -2.1308 -4.8948
Pr -4.2208 -1.3424 -1.2505
Tl -7.0192 -2.3563 -2.7298
Tl -1.7089 -1.1169 -3.4155
Pd -5.2485 -0.1926 -7.1313
Pd -3.4796 -3.2806 0.9859


(7)
17
Lattice="-6.5751 3.7195 -0.5369 4.2455 1.4854 -6.0930 -1.3356 -7.4443 0.3923" Properties=species:S:1:pos:R:3 comment="Pr4TlPd12, optimized geometry, DFT PBE" space_group="Im-3m, No. 229" delta_e_f_mev_per_atom=-708 pbc="T T T"
Pr -0.6678 -3.7222 0.1962
Pr -3.2876 1.8598 -0.2685
Pr -1.8326 -1.1197 -3.1188
Pr 2.1228 0.7427 -3.0465
Tl 0.0000 0.0000 0.0000
Pd 0.8927 -1.8281 -1.7488
Pd 2.0173 -4.1308 -3.9518
Pd -1.6149 3.6082 -4.5960
Pd -0.7147 1.5968 -2.0339
Pd -2.4268 -1.1427 -0.0444
Pd -5.4839 -2.5821 -0.1002
Pd -3.2279 -3.3521 -1.4975
Pd -0.4373 1.1128 -4.7401
Pd -4.5377 -0.5611 -1.7298
Pd 0.8726 -1.6782 -4.5078
Pd -3.1425 1.6713 -3.3511
Pd -0.5227 -3.9106 -2.8865


(8)
10
Lattice="7.2966 -0.2118 -1.1709 -3.6855 6.3010 1.1709 -4.2060 -1.6210 5.8599" Properties=species:S:1:pos:R:3 comment="PrTlPd3, optimized geometry, DFT PBE" space_group="Imma, No. 74" delta_e_f_mev_per_atom=-368 pbc="T T T"
Pr -5.6978 3.8822 5.2731
Pr 5.1029 0.5859 0.5868
Tl 1.8055 3.0446 0.0000
Tl 1.5453 -0.9164 2.3445
Pd 0.6841 1.6520 2.0555
Pd -2.8243 3.7326 1.4600
Pd -1.2790 2.8161 3.8044
Pd -5.0672 0.9474 5.5709
Pd -0.0943 4.3377 1.7577
Pd -0.5006 0.1304 4.1022


(9)
10
Lattice="-1.1830 3.4927 1.9809 -6.6689 -4.6505 4.2175 2.9316 -3.5086 7.9372" Properties=species:S:1:pos:R:3 comment="Pr3TlPd, optimized geometry, DFT PBE" space_group="Cmmm, No. 65" delta_e_f_mev_per_atom=-319 pbc="T T T"
Pr -1.1415 -1.6522 9.8725
Pr 0.8849 0.6423 7.0367
Pr -4.9447 -0.0548 4.7748
Pr -0.3630 0.8972 1.4150
Pr -4.9101 -2.1048 8.4099
Pr -1.6416 -1.8947 5.5740
Tl -2.8699 -4.5786 9.5721
Tl -1.5931 1.2475 4.4852
Pd -4.3361 -2.8262 5.6016
Pd 0.4630 -2.2513 7.4641


(10)
18
Lattice="8.2466 -0.0304 -3.3080 -4.2428 7.3954 -2.5014 -0.1560 0.0304 8.8839" Properties=species:S:1:pos:R:3 comment="Pr12TlPd5, optimized geometry, DFT PBE" space_group="Immm, No. 71" delta_e_f_mev_per_atom=-470 pbc="T T T"
Pr 0.8000 6.0790 2.5056
Pr 3.0477 1.3163 0.5690
Pr 6.4740 1.3163 2.9304
Pr -2.6262 6.0790 0.1442
Pr 2.8389 4.9764 -0.6874
Pr 1.0089 2.4189 3.7619
Pr -0.5241 5.0069 5.9863
Pr 4.3719 2.3885 -2.9117
Pr 4.0743 4.3545 2.7459
Pr -0.2265 3.0409 0.3287
Pr -2.6651 7.1575 3.8669
Pr 6.5128 0.2379 -0.7923
Tl -2.1994 3.7129 3.1913
Pd 2.5827 4.7508 -3.7474
Pd 1.4211 2.6141 -2.0619
Pd 3.4733 0.9657 3.6180
Pd 0.3745 6.4297 -0.5434
Pd 0.0000 0.0000 0.0000


(11)
18
Lattice="-2.9039 1.6392 -2.0704 -5.4150 -3.8732 4.5283 -0.2652 10.8388 8.9536" Properties=species:S:1:pos:R:3 comment="PrTlPd, optimized geometry, DFT PBE" space_group="Pmma, No. 51" delta_e_f_mev_per_atom=-619 pbc="T T T"
Pr -1.5013 9.4204 9.5644
Pr -4.1788 -2.4548 3.9176
Pr -1.3945 5.0511 5.9551
Pr -4.2857 1.9146 7.5269
Pr -0.8812 2.1268 2.9199
Pr -4.7989 4.8388 10.5621
Pd -1.8014 1.6066 0.0781
Pd -6.7826 6.9982 11.3335
Pd -1.8841 4.9878 2.8711
Pd -6.6999 3.6171 8.5405
Pd -3.0371 0.5848 4.7228
Pd -2.6431 6.3808 8.7592
Tl -3.7868 0.4258 1.9279
Tl -4.7972 8.1790 9.4837
Tl -3.8580 3.3366 4.3324
Tl -4.7260 5.2683 7.0792
Tl -5.9068 0.3903 4.8732
Tl -2.6772 8.2146 6.5384


(12)
6
Lattice="4.5798 0.0000 0.0000 2.2899 6.2352 -0.1533 2.2899 1.0481 5.2116" Properties=species:S:1:pos:R:3 comment="PrTlPd, optimized geometry, DFT PBE" space_group="C2/m, No. 12" delta_e_f_mev_per_atom=-567 pbc="T T T"
Pr 4.5798 4.4340 0.9307
Pr 4.5798 2.8494 4.1277
Tl 4.5798 6.4404 3.7138
Tl 4.5798 0.8430 1.3445
Pd 2.2899 2.4269 1.8957
Pd 6.8697 4.8565 3.1626


(13)
18
Lattice="8.4843 0.0000 0.0000 0.0000 8.4843 0.0000 -4.2421 -4.2421 5.9117" Properties=species:S:1:pos:R:3 comment="Pr3TlPd5, optimized geometry, DFT PBE" space_group="I4/mcm, No. 140" delta_e_f_mev_per_atom=-422 pbc="T T T"
Pr 5.3350 1.0929 0.0000
Pr 3.1493 7.3914 0.0000
Pr 7.3914 5.3350 0.0000
Pr 1.0929 3.1493 0.0000
Pr 0.0000 0.0000 2.9559
Pr 4.2421 4.2421 2.9559
Tl 4.2421 0.0000 2.9559
Tl 0.0000 4.2421 2.9559
Pd -2.5754 1.6667 4.2485
Pd 2.5754 -1.6667 4.2485
Pd -1.6667 -2.5754 4.2485
Pd 1.6667 2.5754 4.2485
Pd 6.8176 2.5754 1.6632
Pd 1.6667 5.9089 1.6632
Pd 5.9089 6.8176 1.6632
Pd 2.5754 1.6667 1.6632
Pd 4.2421 4.2421 0.0000
Pd 0.0000 0.0000 0.0000


(14)
19
Lattice="-1.8096 -8.8670 -0.4507 5.9249 1.4545 6.6993 -7.6633 4.4751 1.8295" Properties=species:S:1:pos:R:3 comment="Pr12TlPd6, optimized geometry, DFT PBE" space_group="R-3, No. 148" delta_e_f_mev_per_atom=-408 pbc="T T T"
Pr -2.1530 -4.1844 4.7352
Pr -0.6516 -0.9273 6.5789
Pr -4.3570 -0.8171 4.9915
Pr -1.3950 1.2471 3.3430
Pr -2.8964 -2.0100 1.4992
Pr 0.8090 -2.1202 3.0866
Pr 2.5455 2.4174 6.3041
Pr -3.6770 4.0423 6.2522
Pr 3.4093 -3.9539 6.4572
Pr -6.0935 -5.3547 1.7741
Pr 0.1290 -6.9796 1.8259
Pr -6.9573 1.0166 1.6210
Tl 0.0000 0.0000 0.0000
Pd 0.6348 -3.5839 5.5815
Pd -1.1158 -4.3321 2.0334
Pd 1.2230 0.3115 4.7491
Pd -4.1828 0.6466 2.4967
Pd -2.4322 1.3948 6.0447
Pd -4.7710 -3.2488 3.3290


(15)
14
Lattice="-6.5835 2.3563 2.4864 -3.3794 -5.3488 -3.8789 0.5605 -4.5732 5.8179" Properties=species:S:1:pos:R:3 comment="PrTl3Pd3, optimized geometry, DFT PBE" space_group="Pm-3n, No. 223" delta_e_f_mev_per_atom=170 pbc="T T T"
Pr -4.7012 -3.7828 2.2127
Pr 0.0000 0.0000 0.0000
Tl -1.3656 -1.6975 3.5306
Tl -1.5496 -3.8177 -0.4850
Tl -5.8263 -2.8334 -1.6660
Tl -4.6574 -0.5194 4.7738
Tl -1.2694 -6.1043 2.4240
Tl -4.1366 -0.1590 0.2735
Pd -0.5646 -3.6238 1.9392
Pd -2.2543 -6.2982 -0.0002
Pd -2.8714 -2.2517 5.6066
Pd -6.6273 -0.9072 -0.0747
Pd -3.1516 0.0349 2.6977
Pd -3.3356 -2.0853 -1.3179


(16)
8
Lattice="-0.0807 1.8605 3.5193 -5.9933 -2.8238 1.3553 6.5379 -5.4195 0.7626" Properties=species:S:1:pos:R:3 comment="Pr3TlPd4, optimized geometry, DFT PBE" space_group="Immm, No. 71" delta_e_f_mev_per_atom=-584 pbc="T T T"
Pr -2.9966 -1.4119 0.6777
Pr 1.3298 -2.2391 1.2142
Pr -0.8658 -4.1437 4.4230
Tl -0.0404 0.9302 1.7596
Pd 1.4101 -4.9442 2.6461
Pd -0.9462 -1.4387 2.9912
Pd -3.3260 -2.5585 3.5286
Pd 3.7900 -3.8243 2.1086


(17)
19
Lattice="7.0990 0.0340 0.0303 0.9547 7.0346 0.0303 0.9547 0.8379 6.9846" Properties=species:S:1:pos:R:3 comment="Pr2Tl2Pd15, optimized geometry, DFT PBE" space_group="R-3m, No. 166" delta_e_f_mev_per_atom=-333 pbc="T T T"
Pr 3.1786 2.7898 2.4859
Pr 5.8297 5.1167 4.5593
Tl 0.9512 0.8348 0.7439
Tl 8.0572 7.0716 6.3012
Pd 3.5495 0.0170 0.0151
Pd 0.4773 0.4190 3.4923
Pd 0.4773 3.5173 0.0151
Pd 0.9547 5.1143 2.1853
Pd 5.1950 2.2033 0.0303
Pd 2.8587 0.5888 4.8296
Pd 2.8587 4.8652 0.0303
Pd 5.1950 0.2831 2.1853
Pd 0.9547 2.7582 4.8296
Pd 2.3917 5.1335 4.5743
Pd 5.4004 4.7399 1.1689
Pd 5.4004 1.7055 4.5743
Pd 6.6167 2.7730 2.4709
Pd 3.6079 3.1666 5.8763
Pd 3.6079 6.2010 2.4709


(18)
3
Lattice="3.8781 0.0000 0.0000 0.0000 3.8781 0.0000 -1.9390 -1.9390 4.9689" Properties=species:S:1:pos:R:3 comment="PrTlPd, optimized geometry, DFT PBE" space_group="I4mm, No. 107" delta_e_f_mev_per_atom=-440 pbc="T T T"
Pr 1.9390 1.9390 4.3631
Tl 1.9390 1.9390 1.2474
Pd 0.0000 0.0000 2.8366


(19)
11
Lattice="4.8472 -0.6758 -1.0143 -1.7423 7.8596 -1.1638 -1.7423 -4.1011 6.8050" Properties=species:S:1:pos:R:3 comment="PrTl2Pd8, optimized geometry, DFT PBE" space_group="C2/m, No. 12" delta_e_f_mev_per_atom=-294 pbc="T T T"
Pr 2.4236 -0.3379 -0.5072
Tl -1.7423 -0.3249 4.2891
Tl -1.7423 4.0834 1.3521
Pd 1.0907 3.9533 2.4469
Pd 1.0907 0.7356 4.5908
Pd -0.5092 1.7656 2.6501
Pd 0.6813 5.1388 -0.0834
Pd 0.6813 -2.0562 4.7103
Pd 1.8717 1.3171 1.9768
Pd 0.2719 2.3471 0.0361
Pd 0.2719 -0.8707 2.1799